Entry 1:
This record from Alexandria via LeMat-Bulk describes TiCu2S3 after structural relaxation. The functional is PBE.

The structure in POSCAR format:
```
TiCu2S3
1.0
7.0789 0.0000 0.0000
0.0000 3.5053 0.0000
-2.0715 0.0000 9.5583
Ti Cu S
2 4 6
direct
0.2417 0.2500 0.2067 Ti
0.7583 0.7500 0.7933 Ti
0.0679 0.2500 0.9233 Cu
0.3955 0.7500 0.4203 Cu
0.6045 0.2500 0.5797 Cu
0.9321 0.7500 0.0767 Cu
0.0750 0.7500 0.3116 S
0.2691 0.7500 0.0243 S
0.4502 0.7500 0.6673 S
0.5498 0.2500 0.3327 S
0.7309 0.2500 0.9757 S
0.9250 0.2500 0.6884 S
```

Calculated values
The value obtained for the raw formation energy is -16.77 kcal/mol of atoms. Its magnetization is 0.0 μB/cell. The calculated volume is 19.765 Å³ per atom. The density is 3.80 g/cm3.

---

Entry 2:
This record from Alexandria via LeMat-Bulk describes Ti3CuS after structural relaxation. The functional is PBE.

The structure in POSCAR format:
```
Ti3CuS
1.0
4.4510 0.0000 0.0000
0.0000 4.4510 0.0000
0.0000 0.0000 4.4510
Ti Cu S
3 1 1
direct
0.0000 0.0000 0.5000 Ti
0.0000 0.5000 0.0000 Ti
0.5000 0.0000 0.0000 Ti
0.5000 0.5000 0.5000 Cu
0.0000 0.0000 0.0000 S
```

Calculated values
The value obtained for the raw formation energy is -4.73 kcal/mol of atoms. For the relative energy among the computed polymorphs, the calculation gives 0 meV per atom. Its magnetization is 0.0 μB/cell. The calculated volume is 17.636 Å³ per atom. The density is 4.50 g/cm3.

---

Entry 3:
This record from Alexandria via LeMat-Bulk describes TiCuS after structural relaxation. The functional is PBE.

The structure in POSCAR format:
```
TiCuS
1.0
1.9638 1.1338 8.5627
-1.9638 1.1338 8.5627
0.0000 -2.2676 8.5627
Ti Cu S
2 2 2
direct
0.0600 0.0600 0.0600 Ti
0.9400 0.9400 0.9400 Ti
0.3246 0.3246 0.3246 Cu
0.6754 0.6754 0.6754 Cu
0.2337 0.2337 0.2337 S
0.7663 0.7663 0.7663 S
```

Calculated values
The value obtained for the raw formation energy is -14.41 kcal/mol of atoms. Its magnetization is 0.0 μB/cell. The calculated volume is 19.065 Å³ per atom. The density is 4.17 g/cm3.

---

Entry 4:
This record from Alexandria via LeMat-Bulk describes TiCu2S3 after structural relaxation. The functional is PBE.

The structure in POSCAR format:
```
TiCu2S3
1.0
5.5116 -3.2519 0.0000
5.5116 3.2519 0.0000
0.0000 0.0000 6.3269
Ti Cu S
2 4 6
direct
0.1596 0.8404 0.5000 Ti
0.8404 0.1596 0.0000 Ti
0.1651 0.4980 0.0326 Cu
0.4980 0.1651 0.5326 Cu
0.5020 0.8349 0.0326 Cu
0.8349 0.5020 0.5326 Cu
0.1706 0.4974 0.3932 S
0.1807 0.8193 0.8714 S
0.4974 0.1706 0.8932 S
0.5026 0.8294 0.3932 S
0.8193 0.1807 0.3714 S
0.8294 0.5026 0.8932 S
```

Calculated values
The value obtained for the raw formation energy is -16.76 kcal/mol of atoms. Its magnetization is 0.0 μB/cell. The calculated volume is 18.899 Å³ per atom. The density is 3.97 g/cm3.

---

Entry 5:
This record from Alexandria via LeMat-Bulk describes TiTl2CuS4 after structural relaxation. The functional is PBE.

The structure in POSCAR format:
```
TiTl2CuS4
1.0
4.9711 -4.0930 0.0000
4.9711 4.0930 0.0000
-4.9685 0.0000 4.9752
Ti Tl Cu S
1 2 1 4
direct
0.0000 0.0000 0.0000 Ti
0.4997 0.5003 0.0000 Tl
0.7488 0.2512 0.5000 Tl
0.2503 0.7497 0.5000 Cu
0.0896 0.3807 0.3822 S
0.2925 0.0015 0.9117 S
0.6193 0.9104 0.6178 S
0.9985 0.7075 0.0883 S
```

Calculated values
The value obtained for the raw formation energy is -13.77 kcal/mol of atoms. Its magnetization is 0.0 μB/cell. The calculated volume is 25.307 Å³ per atom. The density is 5.32 g/cm3.

---

Entry 6:
This record from Alexandria via LeMat-Bulk describes Ti2Tl2CuS6 after structural relaxation. The functional is PBE.

The structure in POSCAR format:
```
Ti2Tl2CuS6
1.0
3.0476 -5.4054 0.0000
3.0476 5.4054 0.0000
-2.0453 0.0000 7.4810
Ti Tl Cu S
2 2 1 6
direct
0.1702 0.8298 0.0000 Ti
0.8298 0.1702 0.0000 Ti
0.3375 0.6625 0.5000 Tl
0.6625 0.3375 0.5000 Tl
0.5000 0.5000 0.0000 Cu
0.0911 0.4353 0.8134 S
0.2309 0.2309 0.1712 S
0.4353 0.0911 0.8134 S
0.5647 0.9089 0.1866 S
0.7691 0.7691 0.8288 S
0.9089 0.5647 0.1866 S
```

Calculated values
The value obtained for the raw formation energy is -17.88 kcal/mol of atoms. Its magnetization is 0.0 μB/cell. The calculated volume is 22.407 Å³ per atom. The density is 5.12 g/cm3.

---

Entry 7:
This record from Alexandria via LeMat-Bulk describes TiTlCu2S4 after structural relaxation. The functional is PBE.

The structure in POSCAR format:
```
TiTlCu2S4
1.0
0.0000 4.0792 5.2250
4.0764 0.0000 5.2250
4.0764 4.0792 0.0000
Ti Tl Cu S
1 1 2 4
direct
0.0000 0.0000 0.0000 Ti
0.5007 0.5007 0.4993 Tl
0.2502 0.2502 0.2498 Cu
0.7502 0.7502 0.7498 Cu
0.0698 0.6434 0.9302 S
0.3564 0.9310 0.0690 S
0.6434 0.0698 0.3566 S
0.9310 0.3564 0.6436 S
```

Calculated values
The value obtained for the raw formation energy is -13.39 kcal/mol of atoms. Its magnetization is 0.0 μB/cell. The calculated volume is 21.721 Å³ per atom. The density is 4.85 g/cm3.

---

Entry 8:
This record from Alexandria via LeMat-Bulk describes TiTl2Cu2S4 after structural relaxation. The functional is PBE.

The structure in POSCAR format:
```
TiTl2Cu2S4
1.0
6.8490 -1.8423 0.0000
6.8490 1.8423 0.0000
-2.3880 0.0000 7.2918
Ti Tl Cu S
1 2 2 4
direct
0.0000 0.0000 0.0000 Ti
0.1385 0.1385 0.5733 Tl
0.8615 0.8615 0.4267 Tl
0.3224 0.3224 0.0196 Cu
0.6776 0.6776 0.9804 Cu
0.1891 0.1891 0.1705 S
0.4859 0.4859 0.2132 S
0.5141 0.5141 0.7868 S
0.8109 0.8109 0.8295 S
```

Calculated values
The value obtained for the raw formation energy is -14.61 kcal/mol of atoms. Its magnetization is 0.0 μB/cell. The calculated volume is 20.446 Å³ per atom. The density is 6.42 g/cm3.